Model i:
A plane-wave DFT calculation with PBE was carried out for an optimized crystal structure of SmTmZnPt.

extended XYZ file:
```
4
Lattice="-1.861 4.465 -1.285 -4.042 1.794 2.343 0.437 3.886 3.123" Properties=species:S:1:pos:R:3 pbc="T T T"
Zn -1.367 2.536 1.045
Tm 0.000 0.000 0.000
Pt -4.100 7.609 3.136
Sm -2.733 5.073 2.091
```

Output
M_tot ... 0.000 μB per atom

Model ii:
A plane-wave DFT calculation with PBE was carried out for an optimized crystal structure of SmTmZnPt.

extended XYZ file:
```
4
Lattice="-3.503 -0.657 0.023 0.502 -2.589 2.397 -0.834 4.630 5.175" Properties=species:S:1:pos:R:3 pbc="T T T"
Zn -0.312 1.731 1.935
Sm -1.585 -1.154 1.734
Tm -2.015 1.231 4.400
Pt -0.698 3.873 4.328
```

Output
M_tot ... 0.000 μB per atom

Stability check: which of them is least stable? model i.

Model i:
A plane-wave DFT calculation with PBE was carried out for an optimized crystal structure of SmU2Pt9.

extended XYZ file:
```
12
Lattice="-3.572 -1.374 3.802 1.599 -0.581 5.119 -2.366 7.967 4.484" Properties=species:S:1:pos:R:3 pbc="T T T"
Pt -1.423 1.247 4.832
Pt -3.679 6.651 10.429
Pt -3.230 0.552 6.755
Pt -2.169 3.006 6.702
Pt -1.109 5.460 6.650
Pt -0.614 0.954 7.422
Pt -2.916 4.765 8.573
Pt -3.725 5.059 5.983
Pt -0.660 -0.639 2.976
Sm 0.000 0.000 0.000
U -2.696 1.693 9.560
U -1.643 4.320 3.845
```

Output
M_tot ... 0.358 μB per atom

Model ii:
A plane-wave DFT calculation with PBE was carried out for an optimized crystal structure of SmU2Pt9.

extended XYZ file:
```
12
Lattice="4.163 0.000 0.000 0.000 4.163 0.000 0.000 0.000 12.470" Properties=species:S:1:pos:R:3 pbc="T T T"
Sm 0.000 0.000 0.000
U 0.000 0.000 8.322
U 0.000 0.000 4.148
Pt 2.081 2.081 0.000
Pt 0.000 2.081 6.235
Pt 2.081 2.081 8.299
Pt 2.081 0.000 2.134
Pt 0.000 2.081 10.336
Pt 2.081 0.000 10.336
Pt 2.081 2.081 4.172
Pt 2.081 0.000 6.235
Pt 0.000 2.081 2.134
```

Output
M_tot ... 0.271 μB per atom

Stability check: which of them is least stable? model i.

Model i:
A plane-wave DFT calculation with PBE was carried out for an optimized crystal structure of SmY2Pt.

extended XYZ file:
```
4
Lattice="-2.684 -1.259 -1.993 0.118 -3.088 1.792 -5.683 3.091 5.701" Properties=species:S:1:pos:R:3 pbc="T T T"
Sm -4.125 -0.628 2.750
Y -1.090 0.593 1.094
Y -4.593 2.498 4.607
Pt -1.283 -2.174 -0.101
```

Output
M_tot ... 0.000 μB per atom

Model ii:
A plane-wave DFT calculation with PBE was carried out for an optimized crystal structure of SmY2Pt.

extended XYZ file:
```
8
Lattice="-0.833 2.920 2.281 -5.570 -2.003 -2.638 -1.266 -6.028 7.252" Properties=species:S:1:pos:R:3 pbc="T T T"
Y -5.527 -6.032 5.695
Y -2.611 -1.311 3.886
Y -2.142 0.920 1.201
Y -5.058 -3.800 3.010
Sm -5.867 -0.514 1.669
Sm -1.802 -4.598 5.226
Pt -4.472 -3.343 5.803
Pt -3.197 -1.768 1.093
```

Output
M_tot ... 0.000 μB per atom

Model iii:
A plane-wave DFT calculation with PBE was carried out for an optimized crystal structure of SmY2Pt.

extended XYZ file:
```
4
Lattice="3.829 0.000 0.000 1.914 3.316 0.000 1.914 1.105 9.570" Properties=species:S:1:pos:R:3 pbc="T T T"
Y 1.914 1.105 1.756
Y 5.743 3.316 7.813
Pt 0.000 0.000 0.000
Sm 3.829 2.210 4.785
```

Output
M_tot ... 0.000 μB per atom

Model iv:
A plane-wave DFT calculation with PBE was carried out for an optimized crystal structure of SmY2Pt.

extended XYZ file:
```
4
Lattice="3.952 0.000 0.000 1.976 3.423 0.000 1.976 1.141 9.059" Properties=species:S:1:pos:R:3 pbc="T T T"
Y 1.976 1.141 7.430
Y 1.976 1.141 1.650
Pt 3.952 2.282 0.027
Sm 3.952 2.282 4.481
```

Output
M_tot ... 0.000 μB per atom

Stability check: which of them is least stable? model iii.